[1]
The following is a PBE calculation of a geometry-optimized PmB4Mo structure, from OQMD via LeMat-Bulk.

Polymorph energy (0 for the lowest one)   0.000 eV per atom
Total magnetic moment   0.01 μB per formula unit

Cell and atoms, written as CIF:
```
data_PmB4Mo
_chemical_formula_sum 'Pm1 B4 Mo1'
_cell_length_a 3.141
_cell_length_b 3.141
_cell_length_c 7.400
_cell_angle_alpha 90.00
_cell_angle_beta 90.00
_cell_angle_gamma 120.00
_symmetry_space_group_name_H-M 'P 1'
_symmetry_Int_Tables_number 1
loop_
_symmetry_equiv_pos_as_xyz
'x,y,z'
loop_
_atom_site_label
_atom_site_type_symbol
_atom_site_fract_x
_atom_site_fract_y
_atom_site_fract_z
Pm1 Pm 0.000 0.000 0.000
B1 B 0.333 0.667 0.283
B2 B 0.333 0.667 0.717
B3 B 0.667 0.333 0.283
B4 B 0.667 0.333 0.717
Mo1 Mo 0.000 0.000 0.500
```


[2]
The following is a PBE calculation of a geometry-optimized SmTlAsO structure, from OQMD via LeMat-Bulk.

Polymorph energy (0 for the lowest one)   0.218 eV per atom
Total magnetic moment   0.08 μB per formula unit

Cell and atoms, written as CIF:
```
data_SmTlAsO
_chemical_formula_sum 'Sm2 Tl2 As2 O2'
_cell_length_a 4.128
_cell_length_b 8.184
_cell_length_c 6.063
_cell_angle_alpha 90.00
_cell_angle_beta 90.00
_cell_angle_gamma 90.00
_symmetry_space_group_name_H-M 'P 1'
_symmetry_Int_Tables_number 1
loop_
_symmetry_equiv_pos_as_xyz
'x,y,z'
loop_
_atom_site_label
_atom_site_type_symbol
_atom_site_fract_x
_atom_site_fract_y
_atom_site_fract_z
Sm1 Sm 0.000 0.190 0.000
Sm2 Sm 0.000 0.810 0.500
Tl1 Tl 0.500 0.384 0.555
Tl2 Tl 0.500 0.616 0.055
As1 As 0.000 0.168 0.494
As2 As 0.000 0.832 0.994
O1 O 0.500 0.298 0.984
O2 O 0.500 0.702 0.484
```


[3]
The following is a PBE calculation of a geometry-optimized Gd2NiPt structure, from OQMD via LeMat-Bulk.

Energy of formation   -828 meV/atom
Polymorph energy (0 for the lowest one)   0.019 eV per atom
Total magnetic moment   0.00 μB per formula unit

Cell and atoms, written as CIF:
```
data_Gd2NiPt
_chemical_formula_sum 'Gd4 Ni2 Pt2'
_cell_length_a 5.570
_cell_length_b 4.432
_cell_length_c 7.071
_cell_angle_alpha 90.00
_cell_angle_beta 91.03
_cell_angle_gamma 90.00
_symmetry_space_group_name_H-M 'P 1'
_symmetry_Int_Tables_number 1
loop_
_symmetry_equiv_pos_as_xyz
'x,y,z'
loop_
_atom_site_label
_atom_site_type_symbol
_atom_site_fract_x
_atom_site_fract_y
_atom_site_fract_z
Gd1 Gd 0.137 0.250 0.177
Gd2 Gd 0.362 0.250 0.686
Gd3 Gd 0.638 0.750 0.314
Gd4 Gd 0.863 0.750 0.823
Ni1 Ni 0.376 0.750 0.964
Ni2 Ni 0.624 0.250 0.036
Pt1 Pt 0.156 0.750 0.453
Pt2 Pt 0.844 0.250 0.547
```


[4]
The following is a PBE calculation of a geometry-optimized Co2CuPd structure, from OQMD via LeMat-Bulk.

Energy of formation   150 meV/atom
Total magnetic moment   3.82 μB per formula unit

Cell and atoms, written as CIF:
```
data_Co2CuPd
_chemical_formula_sum 'Co2 Cu1 Pd1'
_cell_length_a 4.138
_cell_length_b 4.138
_cell_length_c 4.138
_cell_angle_alpha 60.00
_cell_angle_beta 60.00
_cell_angle_gamma 60.00
_symmetry_space_group_name_H-M 'P 1'
_symmetry_Int_Tables_number 1
loop_
_symmetry_equiv_pos_as_xyz
'x,y,z'
loop_
_atom_site_label
_atom_site_type_symbol
_atom_site_fract_x
_atom_site_fract_y
_atom_site_fract_z
Co1 Co 0.000 0.000 0.000
Co2 Co 0.250 0.250 0.250
Cu1 Cu 0.750 0.750 0.750
Pd1 Pd 0.500 0.500 0.500
```


[5]
The following is a PBE calculation of a geometry-optimized Pr2NdCd3AgPt2 structure, from OQMD via LeMat-Bulk.

Energy of formation   -707 meV/atom
Total magnetic moment   0.00 μB per formula unit

Cell and atoms, written as CIF:
```
data_Pr2NdCd3AgPt2
_chemical_formula_sum 'Pr2 Nd1 Cd3 Ag1 Pt2'
_cell_length_a 4.012
_cell_length_b 7.849
_cell_length_c 7.849
_cell_angle_alpha 119.93
_cell_angle_beta 90.00
_cell_angle_gamma 90.00
_symmetry_space_group_name_H-M 'P 1'
_symmetry_Int_Tables_number 1
loop_
_symmetry_equiv_pos_as_xyz
'x,y,z'
loop_
_atom_site_label
_atom_site_type_symbol
_atom_site_fract_x
_atom_site_fract_y
_atom_site_fract_z
Pr1 Pr 0.000 0.207 0.793
Pr2 Pr 0.000 0.793 0.207
Nd1 Nd 0.000 0.622 0.622
Cd1 Cd 0.500 0.208 0.464
Cd2 Cd 0.500 0.464 0.208
Cd3 Cd 0.500 0.950 0.950
Ag1 Ag 0.000 0.208 0.208
Pt1 Pt 0.500 0.541 0.873
Pt2 Pt 0.500 0.873 0.541
```


[6]
The following is a PBE calculation of a geometry-optimized DyErCd6 structure, from OQMD via LeMat-Bulk.

Energy of formation   -267 meV/atom
Polymorph energy (0 for the lowest one)   0.015 eV per atom
Total magnetic moment   0.00 μB per formula unit

Cell and atoms, written as CIF:
```
data_DyErCd6
_chemical_formula_sum 'Dy1 Er1 Cd6'
_cell_length_a 5.051
_cell_length_b 7.114
_cell_length_c 5.052
_cell_angle_alpha 90.00
_cell_angle_beta 90.00
_cell_angle_gamma 90.00
_symmetry_space_group_name_H-M 'P 1'
_symmetry_Int_Tables_number 1
loop_
_symmetry_equiv_pos_as_xyz
'x,y,z'
loop_
_atom_site_label
_atom_site_type_symbol
_atom_site_fract_x
_atom_site_fract_y
_atom_site_fract_z
Dy1 Dy 0.000 0.000 0.000
Er1 Er 0.500 0.500 0.509
Cd1 Cd 0.000 0.251 0.499
Cd2 Cd 0.000 0.500 0.000
Cd3 Cd 0.000 0.749 0.499
Cd4 Cd 0.500 0.000 0.509
Cd5 Cd 0.500 0.251 0.010
Cd6 Cd 0.500 0.749 0.010
```


[7]
The following is a PBE calculation of a geometry-optimized NaBeOs structure, from OQMD via LeMat-Bulk.

Polymorph energy (0 for the lowest one)   0.000 eV per atom
Total magnetic moment   1.01 μB per formula unit

Cell and atoms, written as CIF:
```
data_NaBeOs
_chemical_formula_sum 'Na1 Be1 Os1'
_cell_length_a 4.034
_cell_length_b 4.034
_cell_length_c 4.034
_cell_angle_alpha 60.00
_cell_angle_beta 60.00
_cell_angle_gamma 60.00
_symmetry_space_group_name_H-M 'P 1'
_symmetry_Int_Tables_number 1
loop_
_symmetry_equiv_pos_as_xyz
'x,y,z'
loop_
_atom_site_label
_atom_site_type_symbol
_atom_site_fract_x
_atom_site_fract_y
_atom_site_fract_z
Na1 Na 0.000 0.000 0.000
Be1 Be 0.250 0.250 0.250
Os1 Os 0.500 0.500 0.500
```


[8]
The following is a PBE calculation of a geometry-optimized Hf2Nb4Tl3N3 structure, from OQMD via LeMat-Bulk.

Electronic total energy   -8.2899 eV per atom
Total magnetic moment   0.00 μB per formula unit

Cell and atoms, written as CIF:
```
data_Hf2Nb4Tl3N3
_chemical_formula_sum 'Hf4 Nb8 Tl6 N6'
_cell_length_a 5.767
_cell_length_b 5.767
_cell_length_c 14.265
_cell_angle_alpha 101.08
_cell_angle_beta 101.08
_cell_angle_gamma 60.30
_symmetry_space_group_name_H-M 'P 1'
_symmetry_Int_Tables_number 1
loop_
_symmetry_equiv_pos_as_xyz
'x,y,z'
loop_
_atom_site_label
_atom_site_type_symbol
_atom_site_fract_x
_atom_site_fract_y
_atom_site_fract_z
Hf1 Hf 0.025 0.852 0.584
Hf2 Hf 0.148 0.975 0.916
Hf3 Hf 0.852 0.025 0.084
Hf4 Hf 0.975 0.148 0.416
Nb1 Nb 0.192 0.371 0.074
Nb2 Nb 0.325 0.459 0.426
Nb3 Nb 0.371 0.192 0.574
Nb4 Nb 0.459 0.325 0.926
Nb5 Nb 0.541 0.675 0.074
Nb6 Nb 0.629 0.808 0.426
Nb7 Nb 0.675 0.541 0.574
Nb8 Nb 0.808 0.629 0.926
Tl1 Tl 0.079 0.267 0.747
Tl2 Tl 0.267 0.079 0.247
Tl3 Tl 0.431 0.569 0.750
Tl4 Tl 0.569 0.431 0.250
Tl5 Tl 0.733 0.921 0.753
Tl6 Tl 0.921 0.733 0.253
N1 N 0.000 0.500 0.500
N2 N 0.152 0.697 0.000
N3 N 0.303 0.848 0.500
N4 N 0.500 0.000 0.000
N5 N 0.697 0.152 0.500
N6 N 0.848 0.303 0.000
```